## Rb2SrLiCl5 (GGA-PBE)

Data for crystalline Rb2SrLiCl5 at its relaxed geometry.

abc: 4.384 9.611 14.106
angles: 90.00 90.00 103.18
Each line ends with the local moment (μB).
Element x y z (fractional)
Rb  0.872  0.743  0.836  0.00
Rb  0.100  0.200  0.672  0.00
Rb  0.128  0.257  0.336  0.00
Rb  0.900  0.800  0.172  0.00
Sr  0.803  0.607  0.531  0.00
Sr  0.197  0.393  0.031  0.00
Li  0.551  0.102  0.927  0.00
Li  0.449  0.898  0.427  0.00
Cl  0.348  0.695  0.010  0.01
Cl  0.682  0.364  0.894  0.00
Cl  0.497  0.993  0.780  0.08
Cl  0.294  0.588  0.668  0.00
Cl  0.958  0.917  0.506  0.01
Cl  0.652  0.305  0.510  0.01
Cl  0.318  0.636  0.394  0.00
Cl  0.503  0.007  0.280  0.08
Cl  0.706  0.412  0.168  0.00
Cl  0.042  0.083  0.006  0.01

Output
Energy relative to the elements, uncorrected in eV per atom: -2.10
Space group: Cmc2_1